No. 1
AcPmZn | PBE-GGA | optimized geometry

Cell and atoms, written as POSCAR:
```
AcPmZn
1.0
-1.9173 1.9173 6.4270
1.9173 -1.9173 6.4270
1.9173 1.9173 -6.4270
Ac Pm Zn
1 1 1
Cartesian
0.0000 0.0000 0.0000 Ac
0.0000 0.0000 3.6653 Pm
0.0000 0.0000 8.5115 Zn
```

## Properties
- polymorph energy (0 for the lowest one) (meV per atom) = 0.0
- formation energy from the elements (eV/atom) = -0.165
- DFT total energy (eV per atom) = -3.543

***

No. 2
LaTm2Tl | PBE-GGA | optimized geometry

Cell and atoms, written as POSCAR:
```
LaTm2Tl
1.0
3.6385 0.0000 0.0000
0.0000 3.6385 0.0000
0.0000 0.0000 9.1369
La Tm Tl
1 2 1
Cartesian
0.0000 0.0000 0.0000 La
1.8193 1.8193 2.5589 Tm
1.8193 1.8193 6.5780 Tm
0.0000 0.0000 4.5684 Tl
```

## Properties
- polymorph energy (0 for the lowest one) (meV per atom) = 21.4
- formation energy from the elements (eV/atom) = -0.162
- DFT total energy (eV per atom) = -4.222

***

No. 3
BaHgSe2 | PBE-GGA | optimized geometry

Cell and atoms, written as POSCAR:
```
BaHgSe2
1.0
7.3992 0.0000 0.0000
0.0000 4.5049 0.0000
0.0000 0.0000 15.7572
Ba Hg Se
4 4 8
Cartesian
0.4439 1.1262 2.3242 Ba
3.2557 3.3786 10.2028 Ba
4.1435 1.1262 5.5544 Ba
6.9554 3.3786 13.4331 Ba
0.4289 3.3786 6.3756 Hg
3.2707 1.1262 14.2542 Hg
4.1285 3.3786 1.5030 Hg
6.9703 1.1262 9.3817 Hg
1.7072 1.1262 12.2567 Se
1.8205 1.1262 8.1312 Se
1.8792 3.3786 0.2526 Se
1.9924 3.3786 4.3781 Se
5.4068 1.1262 11.3791 Se
5.5201 1.1262 15.5047 Se
5.5788 3.3786 7.6260 Se
5.6920 3.3786 3.5005 Se
```

## Properties
- DFT total energy (eV per atom) = -3.421
- formation energy from raw total energies (kJ/mol of atoms) = -108.3

***

No. 4
Sr2BePbN | PBE-GGA | optimized geometry

Cell and atoms, written as POSCAR:
```
Sr2BePbN
1.0
6.1222 0.0000 0.0000
0.0000 6.1222 0.0000
0.0000 0.0000 3.2148
Sr Be Pb N
2 1 1 1
Cartesian
0.0000 3.0611 0.0000 Sr
3.0611 0.0000 0.0000 Sr
0.0000 0.0000 0.0000 Be
3.0611 3.0611 1.6074 Pb
0.0000 0.0000 1.6074 N
```

## Properties
- DFT total energy (eV per atom) = -4.047
- formation energy from raw total energies (kJ/mol of atoms) = -21.4

***

No. 5
PuNp3Tl4S8 | PBE-GGA | optimized geometry

Cell and atoms, written as POSCAR:
```
PuNp3Tl4S8
1.0
4.0814 2.3564 7.4822
-4.0814 2.3564 7.4822
0.0000 -4.7128 7.4822
Pu Np Tl S
1 3 4 8
Cartesian
0.0000 0.0000 0.0000 Pu
-2.0407 -1.1782 7.4822 Np
-2.0407 1.1782 14.9644 Np
0.0000 2.3564 7.4822 Np
-4.0814 0.0000 11.2233 Tl
-2.0407 1.1782 3.7411 Tl
2.0407 1.1782 3.7411 Tl
0.0000 0.0000 11.2233 Tl
0.0000 -2.3224 8.9416 S
-2.0112 1.1612 8.9416 S
0.0000 0.0000 6.0540 S
-2.0112 -1.1612 13.5051 S
2.0112 1.1612 8.9416 S
0.0000 0.0000 16.3927 S
2.0112 -1.1612 13.5051 S
0.0000 2.3224 13.5051 S
```

## Properties
- DFT total energy (eV per atom) = -7.033
- formation energy from raw total energies (kJ/mol of atoms) = -101.8

***

No. 6
SrPtI6 | PBE-GGA | optimized geometry

Cell and atoms, written as POSCAR:
```
SrPtI6
1.0
7.3209 0.0000 0.0000
-3.6589 6.3467 0.0000
-3.6549 -2.1102 6.8787
Sr Pt I
1 1 6
Cartesian
0.0000 0.0000 0.0000 Sr
-3.6569 2.1183 3.4393 Pt
-1.4492 2.4113 1.8852 I
-2.2998 0.3528 4.9940 I
-2.8073 4.1760 4.9947 I
2.8144 0.0605 1.8839 I
2.3069 3.8838 1.8847 I
1.4563 1.8253 4.9935 I
```

## Properties
- DFT total energy (eV per atom) = -2.742
- formation energy from raw total energies (kJ/mol of atoms) = -59.2

***

No. 7
Ti2Cd5Pd12 | PBE-GGA | optimized geometry

Cell and atoms, written as POSCAR:
```
Ti2Cd5Pd12
1.0
6.5248 -3.8429 0.0000
6.5248 3.8429 0.0000
-0.0445 0.0000 6.4670
Ti Cd Pd
2 5 12
Cartesian
6.5248 2.2254 0.0000 Ti
6.5248 -2.2254 0.0000 Ti
2.6049 0.0000 6.3822 Cd
3.3619 0.0000 2.7327 Cd
6.5026 0.0000 3.2335 Cd
9.6433 0.0000 3.7343 Cd
10.4002 0.0000 0.0848 Cd
0.6259 0.0000 1.9695 Pd
4.9210 2.3279 2.1791 Pd
4.5512 1.4448 4.8983 Pd
8.0842 2.3279 4.2879 Pd
5.3423 0.0000 0.6903 Pd
8.4539 1.4448 1.5687 Pd
4.5512 -1.4448 4.8983 Pd
7.6629 0.0000 5.7767 Pd
4.9210 -2.3279 2.1791 Pd
8.4539 -1.4448 1.5687 Pd
8.0842 -2.3279 4.2879 Pd
12.3792 0.0000 4.4976 Pd
```

## Properties
- formation energy from the elements (eV/atom) = -0.350
- DFT total energy (eV per atom) = -4.701

***

No. 8
KSrReN3 | PBE-GGA | optimized geometry

Cell and atoms, written as POSCAR:
```
KSrReN3
1.0
6.9870 -1.9416 0.0000
6.9870 1.9416 0.0000
-2.2667 0.0000 8.1489
K Sr Re N
2 2 2 6
Cartesian
1.6896 0.0000 0.4963 K
10.0177 0.0000 7.6526 K
0.9673 0.0000 5.0467 Sr
10.7401 0.0000 3.1022 Sr
5.3036 0.0000 5.4246 Re
6.4038 0.0000 2.7243 Re
-0.6015 0.0000 2.9015 N
3.4389 0.0000 5.5843 N
4.9459 0.0000 1.5811 N
6.7614 0.0000 6.5679 N
8.2685 0.0000 2.5647 N
12.3089 0.0000 5.2474 N
```

## Properties
- DFT total energy (eV per atom) = -6.956
- formation energy from raw total energies (kJ/mol of atoms) = -24.6

***

No. 9
Sm2MgZn2Pt5 | PBE-GGA | optimized geometry

Cell and atoms, written as POSCAR:
```
Sm2MgZn2Pt5
1.0
9.7323 0.0000 0.0000
0.0000 9.7323 0.0000
0.0000 0.0000 3.8425
Sm Mg Zn Pt
4 2 4 10
Cartesian
1.7206 3.1455 0.0000 Sm
3.1455 8.0117 0.0000 Sm
6.5868 1.7206 0.0000 Sm
8.0117 6.5868 0.0000 Sm
0.0000 0.0000 0.0000 Mg
4.8662 4.8662 0.0000 Mg
1.1756 6.0417 0.0000 Zn
3.6906 1.1756 0.0000 Zn
6.0417 8.5567 0.0000 Zn
8.5567 3.6906 0.0000 Zn
0.0000 4.8662 1.9213 Pt
0.6365 7.7319 1.9213 Pt
2.0004 0.6365 1.9213 Pt
2.8657 5.5026 1.9213 Pt
4.2297 2.8657 1.9213 Pt
4.8662 0.0000 1.9213 Pt
5.5026 6.8666 1.9213 Pt
6.8666 4.2297 1.9213 Pt
7.7319 9.0958 1.9213 Pt
9.0958 2.0004 1.9213 Pt
```

## Properties
- formation energy from the elements (eV/atom) = -0.840
- DFT total energy (eV per atom) = -5.218

***

No. 10
Pm2Cd2Ag | PBE-GGA | optimized geometry

Cell and atoms, written as POSCAR:
```
Pm2Cd2Ag
1.0
2.4508 -7.6490 0.0000
2.4508 7.6490 0.0000
0.0000 0.0000 3.4139
Pm Cd Ag
2 2 1
Cartesian
2.4508 5.9225 0.0000 Pm
2.4508 -5.9225 0.0000 Pm
2.4508 3.0167 1.7069 Cd
2.4508 -3.0167 1.7069 Cd
2.4508 0.0000 1.7069 Ag
```

## Properties
- polymorph energy (0 for the lowest one) (meV per atom) = 32.7
- formation energy from the elements (eV/atom) = -0.222
- DFT total energy (eV per atom) = -3.058

***

No. 11
InFeAsBr2 | PBE-GGA | optimized geometry

Cell and atoms, written as POSCAR:
```
InFeAsBr2
1.0
5.3972 0.0000 0.0000
0.0000 5.3972 0.0000
0.0000 0.0000 5.4228
In Fe As Br
1 1 1 2
Cartesian
0.0000 0.0000 0.0000 In
2.6986 2.6986 2.7114 Fe
0.0000 0.0000 2.7114 As
0.0000 2.6986 0.0000 Br
2.6986 0.0000 0.0000 Br
```

## Properties
- polymorph energy (0 for the lowest one) (meV per atom) = 683.4
- DFT total energy (eV per atom) = -3.143
- formation energy from raw total energies (kJ/mol of atoms) = 67.2

***

No. 12
LaZrW | PBE-GGA | optimized geometry

Cell and atoms, written as POSCAR:
```
LaZrW
1.0
0.0000 3.3372 3.3372
3.3372 0.0000 3.3372
3.3372 3.3372 0.0000
La Zr W
1 1 1
Cartesian
0.0000 0.0000 0.0000 La
1.6686 1.6686 1.6686 Zr
5.0059 5.0059 5.0059 W
```

## Properties
- polymorph energy (0 for the lowest one) (meV per atom) = 1204.2
- formation energy from the elements (eV/atom) = 1.602
- DFT total energy (eV per atom) = -7.208